Material: In2Co
Method: DFT, PBE
State: relaxed

abc: 4.412 4.412 3.476
angles: 90.00 90.00 120.00
Each line ends with the local moment (μB).
Fractional positions:
Co  0.000  0.000  0.000  0.79
In  0.667  0.333  0.257  -0.02
In  0.333  0.667  0.743  -0.02

Results
Formation energy from the elements (eV per atom): 0.368
Density (kg/m3): 8176